Here is a geometry-optimized LiIrPb3 structure from Alexandria via LeMat-Bulk. Energies are from PBE.

Geometry as extended XYZ:
```
5
Lattice="-1.822 3.669 3.479 -4.954 -2.036 -0.447 1.013 -3.359 4.072" Properties=species:S:1:pos:R:3 pbc="T T T"
Pb -2.477 -1.018 -0.224
Pb 0.506 -1.679 2.036
Pb -0.911 1.835 1.740
Ir 0.000 0.000 0.000
Li -2.882 -0.863 3.552
```

Space-group type = No. 221
Energy = -20.3 eV for the cell shown
DFT formation energy = 152.5 kJ/mol of formula units
Energy relative to the lowest polymorph listed for this composition = 0 meV/atom
Volume = 155.3 Å³ per cell